1.
Below is a crystal of Ti3MnCd relaxed with PBEsol, with properties calculated at the meta-GGA SCAN level.

CIF file:
```
data_Ti3MnCd
_symmetry_space_group_name_H-M 'P m -3 m'
_symmetry_Int_Tables_number 221
_symmetry_space_group_name_Hall '-P 4 2 3'
_cell_length_a 4.4695
_cell_length_b 4.4695
_cell_length_c 4.4695
_cell_angle_alpha 90.00
_cell_angle_beta 90.00
_cell_angle_gamma 90.00
loop_
_atom_site_label
_atom_site_fract_x
_atom_site_fract_y
_atom_site_fract_z
Ti1 0.0000 0.0000 0.5000
Mn1 0.0000 0.0000 0.0000
Cd1 0.5000 0.5000 0.5000
```

Results
VASP energy (eV per atom): -19.063
Magnetization (μB/cell): 1.6

2.
Below is a crystal of TiMn2CdW relaxed with PBEsol, with properties calculated at the meta-GGA SCAN level.

CIF file:
```
data_TiMn2CdW
_symmetry_space_group_name_H-M 'P 4/m m m'
_symmetry_Int_Tables_number 123
_symmetry_space_group_name_Hall '-P 4 2'
_cell_length_a 4.5388
_cell_length_b 4.5388
_cell_length_c 4.7270
_cell_angle_alpha 90.00
_cell_angle_beta 90.00
_cell_angle_gamma 90.00
loop_
_atom_site_label
_atom_site_fract_x
_atom_site_fract_y
_atom_site_fract_z
Ti1 0.0000 0.0000 0.0000
Mn1 0.0000 0.5000 0.5000
Cd1 0.5000 0.5000 0.0000
W1 0.0000 0.0000 0.5000
```

Results
VASP energy (eV per atom): -29.537
Magnetization (μB/cell): 6.5

3.
Below is a crystal of Mn2Tl2Cd relaxed with PBEsol, with properties calculated at the meta-GGA SCAN level.

CIF file:
```
data_Mn2Tl2Cd
_symmetry_space_group_name_H-M 'I 4/m m m'
_symmetry_Int_Tables_number 139
_symmetry_space_group_name_Hall '-I 4 2'
_cell_length_a 4.1221
_cell_length_b 4.1221
_cell_length_c 12.6845
_cell_angle_alpha 90.00
_cell_angle_beta 90.00
_cell_angle_gamma 90.00
loop_
_atom_site_label
_atom_site_fract_x
_atom_site_fract_y
_atom_site_fract_z
Mn1 0.0000 0.0000 0.0942
Tl1 0.0000 0.5000 0.2500
Cd1 0.0000 0.0000 0.5000
```

Results
VASP energy (eV per atom): -41.872
Magnetization (μB/cell): 15.9

4.
Below is a crystal of Mn2CdW relaxed with PBEsol, with properties calculated at the meta-GGA SCAN level.

CIF file:
```
data_Mn2CdW
_symmetry_space_group_name_H-M 'R -3 m'
_symmetry_Int_Tables_number 166
_symmetry_space_group_name_Hall '-R 3 2"'
_cell_length_a 2.8528
_cell_length_b 2.8528
_cell_length_c 25.5424
_cell_angle_alpha 90.00
_cell_angle_beta 90.00
_cell_angle_gamma 120.00
loop_
_atom_site_label
_atom_site_fract_x
_atom_site_fract_y
_atom_site_fract_z
Mn1 0.0000 0.0000 0.2426
Cd1 0.0000 0.0000 0.0000
W1 0.0000 0.0000 0.5000
```

Results
VASP energy (eV per atom): -33.898
Magnetization (μB/cell): 17.6